# Rb12Cd3F5

A geometry-optimized Rb12Cd3F5 structure (GGA-PBE, Alexandria).

a = 16.5483 Å, b = 16.5483 Å, c = 16.5483 Å
α = 109.47°, β = 109.47°, γ = 109.47°
With the nearest neighbours (Å) after each atom.
Fractional positions:
Rb 0.3157 0.5062 0.3963  2 F 2.71-3.02
Rb 0.3157 0.8095 0.4194  2 F 2.71-3.02
Rb 0.8095 0.3157 0.9194  2 F 2.71-3.02
Rb 0.8901 0.5806 0.8963  2 F 2.71-3.02
Rb 0.8157 0.9194 0.3095  2 F 2.71-3.02
Rb 0.0062 0.6099 0.6905  2 F 2.71-3.02
Rb 0.8157 0.8963 0.0062  2 F 2.71-3.02
Rb 0.1099 0.4194 0.1037  2 F 2.71-3.02
Rb 0.9194 0.1037 0.6099  2 F 2.71-3.02
Rb 0.5062 0.1905 0.1099  2 F 2.71-3.02
Rb 0.4938 0.6843 0.1037  2 F 2.71-3.02
Rb 0.6905 0.5806 0.1843  2 F 2.71-3.02
Rb 0.1905 0.6843 0.0806  2 F 2.71-3.02
Rb 0.0806 0.8963 0.3901  2 F 2.71-3.02
Rb 0.6099 0.6037 0.9194  2 F 2.71-3.02
Rb 0.3963 0.0062 0.3157  2 F 2.71-3.02
Rb 0.1099 0.6905 0.5062  2 F 2.71-3.02
Rb 0.6843 0.4938 0.6037  2 F 2.71-3.02
Rb 0.9938 0.6037 0.1843  2 F 2.71-3.02
Rb 0.4194 0.3095 0.3157  2 F 2.71-3.02
Rb 0.3095 0.4194 0.8157  2 F 2.71-3.02
Rb 0.3095 0.8901 0.9938  2 F 2.71-3.02
Rb 0.1843 0.0806 0.6905  2 F 2.71-3.02
Rb 0.0806 0.1843 0.1905  2 F 2.71-3.02
Rb 0.6037 0.9938 0.6843  2 F 2.71-3.02
Rb 0.9938 0.3901 0.3095  2 F 2.71-3.02
Rb 0.4938 0.8095 0.8901  2 F 2.71-3.02
Rb 0.1843 0.1037 0.9938  2 F 2.71-3.02
Rb 0.1037 0.9194 0.1099  2 F 2.71-3.02
Rb 0.8095 0.4938 0.3901  2 F 2.71-3.02
Rb 0.3901 0.9938 0.8095  2 F 2.71-3.02
Rb 0.6843 0.1905 0.5806  2 F 2.71-3.02
Rb 0.5806 0.6905 0.6843  2 F 2.71-3.02
Rb 0.1905 0.5062 0.6099  2 F 2.71-3.02
Rb 0.3963 0.3901 0.5806  2 F 2.71-3.02
Rb 0.0062 0.3963 0.8157  2 F 2.71-3.02
Rb 0.3901 0.3963 0.0806  2 F 2.71-3.02
Rb 0.1037 0.1843 0.4938  2 F 2.71-3.02
Rb 0.6037 0.6099 0.4194  2 F 2.71-3.02
Rb 0.9194 0.8157 0.8095  2 F 2.71-3.02
Rb 0.8901 0.3095 0.4938  2 F 2.71-3.02
Rb 0.5806 0.8901 0.3963  2 F 2.71-3.02
Rb 0.6905 0.1099 0.0062  2 F 2.71-3.02
Rb 0.8963 0.0806 0.8901  2 F 2.71-3.02
Rb 0.5062 0.3157 0.8963  2 F 2.71-3.02
Rb 0.6099 0.0062 0.1905  2 F 2.71-3.02
Rb 0.8963 0.8157 0.5062  2 F 2.71-3.02
Rb 0.4194 0.1099 0.6037  2 F 2.71-3.02
Cd 0.8750 0.1250 0.2500  8 Rb 3.76-4.03
Cd 0.7500 0.3750 0.1250  8 Rb 3.76-4.03
Cd 0.2500 0.1250 0.3750  8 Rb 3.76-4.03
Cd 0.1250 0.2500 0.8750  8 Rb 3.76-4.03
Cd 0.6250 0.3750 0.7500  8 Rb 3.76-4.03
Cd 0.3750 0.7500 0.6250  8 Rb 3.76-4.03
Cd 0.1250 0.8750 0.7500  8 Rb 3.76-4.03
Cd 0.2500 0.6250 0.8750  8 Rb 3.76-4.03
Cd 0.3750 0.6250 0.2500  8 Rb 3.76-4.03
Cd 0.8750 0.7500 0.1250  8 Rb 3.76-4.03
Cd 0.7500 0.8750 0.6250  8 Rb 3.76-4.03
Cd 0.6250 0.2500 0.3750  8 Rb 3.76-4.03
F 0.0000 0.5000 0.0000  6 Rb 3.02
F 0.6250 0.7500 0.8750  4 Rb 2.71
F 0.8750 0.6250 0.7500  4 Rb 2.71
F 0.3750 0.1250 0.7500  4 Rb 2.71
F 0.2500 0.8750 0.1250  4 Rb 2.71
F 0.5000 0.5000 0.5000  6 Rb 3.02
F 0.0000 0.5000 0.5000  6 Rb 3.02
F 0.3750 0.2500 0.1250  4 Rb 2.71
F 0.1250 0.3750 0.2500  4 Rb 2.71
F 0.5000 0.0000 0.5000  6 Rb 3.02
F 0.0000 0.0000 0.5000  6 Rb 3.02
F 0.8750 0.2500 0.6250  4 Rb 2.71
F 0.7500 0.1250 0.8750  4 Rb 2.71
F 0.5000 0.5000 0.0000  6 Rb 3.02
F 0.7500 0.6250 0.3750  4 Rb 2.71
F 0.0000 0.0000 0.0000  6 Rb 3.02
F 0.2500 0.3750 0.6250  4 Rb 2.71
F 0.1250 0.7500 0.3750  4 Rb 2.71
F 0.6250 0.8750 0.2500  4 Rb 2.71
F 0.5000 0.0000 0.0000  6 Rb 3.02

Energy relative to the elements, uncorrected = -118.67 kJ/mol of atoms
Symmetry = Ia-3d, No. 230
Electronic total energy = -193.2 eV per cell
Fermi-level density of states = 0.62 states/eV/atom